Entry 1:
This record from Alexandria via LeMat-Bulk describes a relaxed K2NaBiI6 crystal. The functional is GGA-PBEsol.

Structure (POSCAR):
```
K2NaBiI6
1.0
-0.954 8.524 -0.234
-3.320 3.756 -6.964
-7.851 3.449 0.317
Na Bi I K
1 1 6 2
Direct
0.500 0.500 0.500
0.000 0.000 0.000
0.751 0.249 0.751
0.751 0.249 0.249
0.249 0.751 0.751
0.249 0.751 0.249
0.751 0.751 0.249
0.249 0.249 0.751
0.250 0.250 0.250
0.750 0.750 0.750
```

formation energy from raw total energies: -9.26 eV/f.u.
size of the total moment: 0.00 μB per formula unit



Entry 2:
This record from Alexandria via LeMat-Bulk describes a relaxed Li3BiI crystal. The functional is GGA-PBEsol.

Structure (POSCAR):
```
Li3BiI
1.0
5.312 0.000 0.000
0.000 5.312 0.000
0.000 0.000 5.312
Li I Bi
3 1 1
Direct
0.500 0.000 0.000
0.000 0.000 0.500
0.000 0.500 0.000
0.500 0.500 0.500
0.000 0.000 0.000
```

formation energy from raw total energies: -1.56 eV/f.u.
size of the total moment: 0.87 μB per formula unit



Entry 3:
This record from Alexandria via LeMat-Bulk describes a relaxed LiBiI3 crystal. The functional is GGA-PBEsol.

Structure (POSCAR):
```
LiBiI3
1.0
5.308 0.000 0.000
0.000 5.308 0.000
0.000 0.000 5.308
I Li Bi
3 1 1
Direct
0.000 0.500 0.000
0.000 0.000 0.500
0.500 0.000 0.000
0.000 0.000 0.000
0.500 0.500 0.500
```

formation energy from raw total energies: -1.32 eV/f.u.
size of the total moment: 0.00 μB per formula unit



Entry 4:
This record from Alexandria via LeMat-Bulk describes a relaxed LiBiSb2I crystal. The functional is GGA-PBEsol.

Structure (POSCAR):
```
LiBiSb2I
1.0
-3.502 3.527 1.203
-3.704 -3.115 -1.652
-0.404 -1.988 4.654
Li Sb Bi I
1 2 1 1
Direct
0.000 0.000 0.000
0.000 0.500 0.000
0.500 0.000 0.000
0.500 0.500 0.500
0.000 0.000 0.500
```

formation energy from raw total energies: 1.21 eV/f.u.
size of the total moment: 0.00 μB per formula unit



Entry 5:
This record from Alexandria via LeMat-Bulk describes a relaxed LiSiBi2I crystal. The functional is GGA-PBEsol.

Structure (POSCAR):
```
LiSiBi2I
1.0
5.053 0.000 0.000
0.000 5.432 0.000
0.000 0.000 5.432
Bi I Si Li
2 1 1 1
Direct
0.000 0.000 0.500
0.000 0.500 0.000
0.500 0.500 0.500
0.000 0.000 0.000
0.500 0.000 0.000
```

formation energy from raw total energies: 1.22 eV/f.u.
size of the total moment: 0.00 μB per formula unit



Entry 6:
This record from Alexandria via LeMat-Bulk describes a relaxed LuBi2IO4 crystal. The functional is GGA-PBEsol.

Structure (POSCAR):
```
LuBi2IO4
1.0
-1.429 1.613 3.192
-3.387 -1.713 -0.651
2.821 -7.499 5.053
O I Bi Lu
4 1 2 1
Direct
0.000 0.500 0.138
0.000 0.500 0.862
0.500 0.000 0.138
0.500 0.000 0.862
0.000 0.000 0.500
0.500 0.500 0.742
0.500 0.500 0.258
0.000 0.000 0.000
```

formation energy from raw total energies: -15.90 eV/f.u.
size of the total moment: 0.00 μB per formula unit